No. 1
{"formula": "InTe2Mo", "functional": "PBE-GGA", "state": "optimized geometry", "total_energy_ev_per_atom": -4.341, "space_group": "No. 119", "lattice_angstrom": [[-4.7076, -2.3038, 3.5197], [0.8837, -1.9724, 5.9318], [1.3038, 4.9451, -3.7018]], "species": ["Te", "Te", "In", "Mo"], "fractional_positions": [[0.2500, 0.7500, 0.5000], [0.0000, 0.0000, 0.0000], [0.5000, 0.5000, 0.0000], [0.7500, 0.2500, 0.5000]]}

***

No. 2
{"formula": "InTe2Mo", "functional": "PBE-GGA", "state": "optimized geometry", "total_energy_ev_per_atom": -4.987, "space_group": "No. 166", "lattice_angstrom": [[-3.5559, 6.5214, 6.7289], [-3.2356, 3.6951, 8.7366], [-0.4873, 5.7606, 8.1871]], "species": ["Te", "Te", "In", "Mo"], "fractional_positions": [[0.4806, 0.4806, 0.4806], [0.0194, 0.0194, 0.0194], [0.2500, 0.2500, 0.2500], [0.7500, 0.7500, 0.7500]]}

***

No. 3
{"formula": "InTe2Mo", "functional": "PBE-GGA", "state": "optimized geometry", "total_energy_ev_per_atom": -4.185, "space_group": "No. 216", "lattice_angstrom": [[5.1427, 0.0000, 0.0000], [2.5713, 4.4537, 0.0000], [2.5713, 1.4846, 4.1990]], "species": ["Mo", "Te", "Te", "In"], "fractional_positions": [[0.7500, 0.7500, 0.7500], [0.2500, 0.2500, 0.2500], [0.0000, 0.0000, 0.0000], [0.5000, 0.5000, 0.5000]]}

***

No. 4
{"formula": "InTeMo2", "functional": "PBE-GGA", "state": "optimized geometry", "total_energy_ev_per_atom": -6.176, "space_group": "No. 65", "lattice_angstrom": [[3.1106, 0.0095, 0.0000], [-1.3767, 2.7894, 0.0000], [0.0000, 0.0000, 8.9543]], "species": ["Mo", "Mo", "Te", "In"], "fractional_positions": [[0.0000, 0.0000, 0.4885], [0.0000, 0.0000, 0.0115], [0.5000, 0.5000, 0.2500], [0.5000, 0.5000, 0.7500]]}

***

No. 5
{"formula": "InTe2Mo", "functional": "PBE-GGA", "state": "optimized geometry", "total_energy_ev_per_atom": -4.397, "space_group": "No. 12", "lattice_angstrom": [[-1.9272, 4.0304, 2.3569], [-3.7386, -2.2195, -2.9259], [-4.1835, -1.7171, 3.0116]], "species": ["In", "Te", "Te", "Mo"], "fractional_positions": [[0.0000, 0.5000, 0.5000], [0.5000, 0.0000, 0.5000], [0.0000, 0.0000, 0.0000], [0.5000, 0.5000, 0.0000]]}

***

No. 6
{"formula": "InTe2Mo", "functional": "PBE-GGA", "state": "optimized geometry", "total_energy_ev_per_atom": -4.817, "space_group": "No. 99", "lattice_angstrom": [[-2.3649, -0.5544, -2.1543], [-0.7040, -2.7960, 1.4924], [-6.2517, 4.6048, 5.6778]], "species": ["Te", "Te", "In", "Mo"], "fractional_positions": [[0.0000, 0.0000, 0.9157], [0.5000, 0.5000, 0.2770], [0.0000, 0.0000, 0.5561], [0.5000, 0.5000, 0.7513]]}

***

No. 7
{"formula": "In3TeMo", "functional": "PBE-GGA", "state": "optimized geometry", "total_energy_ev_per_atom": -3.848, "space_group": "No. 221", "lattice_angstrom": [[5.4061, 0.0000, 0.0000], [0.0000, 5.4061, 0.0000], [0.0000, 0.0000, 5.4061]], "species": ["In", "In", "In", "Te", "Mo"], "fractional_positions": [[0.0000, 0.0000, 0.5000], [0.5000, 0.0000, 0.0000], [0.0000, 0.5000, 0.0000], [0.5000, 0.5000, 0.5000], [0.0000, 0.0000, 0.0000]]}

***

No. 8
{"formula": "InTe2Mo", "functional": "PBE-GGA", "state": "optimized geometry", "total_energy_ev_per_atom": -4.619, "space_group": "No. 65", "lattice_angstrom": [[-1.3640, 1.9445, -2.1984], [-0.7671, -3.1329, -0.2672], [-8.3455, 1.4893, 6.4953]], "species": ["Te", "Te", "Mo", "In"], "fractional_positions": [[0.0000, 0.0000, 0.9507], [0.0000, 0.0000, 0.5493], [0.5000, 0.5000, 0.7500], [0.5000, 0.5000, 0.2500]]}

***

No. 9
{"formula": "InTe2Mo", "functional": "PBE-GGA", "state": "optimized geometry", "total_energy_ev_per_atom": -4.943, "space_group": "No. 123", "lattice_angstrom": [[3.3159, 0.0000, 0.0000], [0.0000, 3.3159, 0.0000], [0.0000, 0.0000, 9.2680]], "species": ["In", "Te", "Te", "Mo"], "fractional_positions": [[0.5000, 0.5000, 0.2500], [0.0000, 0.0000, 0.5710], [0.0000, 0.0000, 0.9290], [0.5000, 0.5000, 0.7500]]}

***

No. 10
{"formula": "Th6In2Mo", "functional": "PBE-GGA", "state": "optimized geometry", "space_group": "No. 189", "ef_ev_per_atom": -0.1064, "lattice_angstrom": [[-2.1094, -2.7443, 1.3780], [5.4555, -6.0927, -3.7826], [1.6370, 2.9392, 8.3590]], "species": ["Mo", "Th", "Th", "Th", "Th", "Th", "Th", "In", "In"], "fractional_positions": [[0.5000, 0.0000, 0.0000], [0.0000, 0.0000, 0.7458], [0.5000, 0.0000, 0.3889], [0.0000, 0.2542, 0.2542], [0.5000, 0.6111, 0.6111], [0.0000, 0.7458, 0.0000], [0.5000, 0.3889, 0.0000], [0.0000, 0.6667, 0.3333], [0.0000, 0.3333, 0.6667]]}

***

No. 11
{"formula": "ThInMo", "functional": "PBE-GGA", "state": "optimized geometry", "space_group": "No. 12", "ef_ev_per_atom": 0.1268, "lattice_angstrom": [[-3.0894, -1.1797, -0.9630], [3.8171, -0.6833, -5.2486], [0.9875, -5.6379, 3.7386]], "species": ["In", "In", "Th", "Th", "Mo", "Mo"], "fractional_positions": [[0.6913, 0.3826, 0.8263], [0.3087, 0.6174, 0.1737], [0.0000, 0.0000, 0.5000], [0.0000, 0.0000, 0.0000], [0.3114, 0.6228, 0.6200], [0.6886, 0.3772, 0.3800]]}

***

No. 12
{"formula": "TiIn3Mo", "functional": "PBE-GGA", "state": "optimized geometry", "space_group": "No. 221", "ef_ev_per_atom": 1.0025, "lattice_angstrom": [[-3.0289, -0.8908, -4.1122], [3.9376, -2.3858, -2.3834], [-1.4829, -4.5158, 2.0705]], "species": ["Mo", "In", "In", "In", "Ti"], "fractional_positions": [[0.0000, 0.0000, 0.0000], [0.0000, 0.5000, 0.0000], [0.5000, 0.0000, 0.0000], [0.0000, 0.0000, 0.5000], [0.5000, 0.5000, 0.5000]]}

***

No. 13
{"formula": "Ti6In5Mo", "functional": "PBE-GGA", "state": "optimized geometry", "space_group": "No. 12", "ef_ev_per_atom": -0.1294, "lattice_angstrom": [[-0.4470, -3.5184, 3.6114], [0.3290, -4.3740, -4.2229], [7.3315, -2.6808, -1.0362]], "species": ["Ti", "Ti", "Ti", "Ti", "Ti", "Ti", "In", "In", "In", "In", "In", "Mo"], "fractional_positions": [[0.4999, 0.2387, 0.0000], [0.1557, 0.3983, 0.6837], [0.8444, 0.0820, 0.3161], [0.1556, 0.9180, 0.6839], [0.8443, 0.6017, 0.3163], [0.5001, 0.7613, 0.0000], [0.0000, 0.5000, 0.0000], [0.6610, 0.6691, 0.6619], [0.6714, 0.1674, 0.6652], [0.3390, 0.3309, 0.3381], [0.3286, 0.8326, 0.3348], [0.0000, 0.0000, 0.0000]]}

***

No. 14
{"formula": "TiInMo3", "functional": "PBE-GGA", "state": "optimized geometry", "space_group": "No. 221", "ef_ev_per_atom": 1.2722, "lattice_angstrom": [[-3.5018, 2.3794, -1.8176], [-1.9119, 0.3757, 4.1751], [2.3044, 3.9275, 0.7018]], "species": ["Mo", "Mo", "Mo", "Ti", "In"], "fractional_positions": [[0.0000, 0.0000, 0.5000], [0.0000, 0.5000, 0.0000], [0.5000, 0.0000, 0.0000], [0.0000, 0.0000, 0.0000], [0.5000, 0.5000, 0.5000]]}

***

No. 15
{"formula": "Ti6In2Mo", "functional": "PBE-GGA", "state": "optimized geometry", "space_group": "No. 71", "ef_ev_per_atom": 0.4086, "lattice_angstrom": [[4.3290, 0.0000, -0.1651], [0.0000, 6.6252, 0.0000], [-1.9039, -3.3126, 6.7455]], "species": ["Ti", "Ti", "Ti", "Ti", "Ti", "Ti", "Mo", "In", "In"], "fractional_positions": [[0.1562, 0.9302, 0.3139], [0.5000, 0.7743, 0.0000], [0.8438, 0.6164, 0.6861], [0.5000, 0.2257, 0.0000], [0.1562, 0.3836, 0.3139], [0.8438, 0.0698, 0.6861], [0.0000, 0.0000, 0.0000], [0.3367, 0.3358, 0.6715], [0.6633, 0.6642, 0.3285]]}

***

No. 16
{"formula": "TiInMo2", "functional": "PBE-GGA", "state": "optimized geometry", "space_group": "No. 122", "ef_ev_per_atom": 0.5994, "lattice_angstrom": [[3.8735, 0.0000, 0.0000], [0.0000, 3.8735, 0.0000], [1.9367, 1.9367, 9.9177]], "species": ["Ti", "Ti", "Mo", "Mo", "Mo", "Mo", "In", "In"], "fractional_positions": [[0.2500, 0.7500, 0.5000], [0.5000, 0.5000, 0.0000], [0.8750, 0.8495, 0.7500], [0.5995, 0.1250, 0.2500], [0.3750, 0.4005, 0.7500], [0.1505, 0.6250, 0.2500], [0.7500, 0.2500, 0.5000], [0.0000, 0.0000, 0.0000]]}

***

No. 17
{"formula": "Ti5In2Mo", "functional": "PBE-GGA", "state": "optimized geometry", "space_group": "No. 139", "ef_ev_per_atom": -0.1639, "lattice_angstrom": [[-4.0284, 0.6298, 2.3377], [-2.4179, -1.2780, -3.8223], [3.3930, -5.8375, 2.6949]], "species": ["Ti", "Ti", "Ti", "Ti", "Ti", "In", "In", "Mo"], "fractional_positions": [[0.3894, 0.8894, 0.7789], [0.6106, 0.1106, 0.2211], [0.8894, 0.3894, 0.7789], [0.1106, 0.6106, 0.2211], [0.5000, 0.5000, 0.0000], [0.2502, 0.2502, 0.5003], [0.7498, 0.7498, 0.4997], [0.0000, 0.0000, 0.0000]]}

***

No. 18
{"formula": "TiInMo", "functional": "PBE-GGA", "state": "optimized geometry", "space_group": "No. 139", "ef_ev_per_atom": -0.0771, "lattice_angstrom": [[-2.7455, 0.9684, 1.1943], [-1.3749, -2.6404, -1.0195], [4.6373, -4.4480, 10.1219]], "species": ["Mo", "Mo", "Ti", "Ti", "In", "In"], "fractional_positions": [[0.2821, 0.2821, 0.5642], [0.7179, 0.7179, 0.4358], [0.1496, 0.1496, 0.2992], [0.8504, 0.8504, 0.7008], [0.4368, 0.4368, 0.8737], [0.5632, 0.5632, 0.1263]]}

***

No. 19
{"formula": "Ti7In2Mo", "functional": "PBE-GGA", "state": "optimized geometry", "space_group": "No. 225", "ef_ev_per_atom": 0.6708, "lattice_angstrom": [[6.6648, 0.0000, 0.0000], [3.3324, 5.7719, 0.0000], [3.3324, 1.9240, 5.4418]], "species": ["In", "In", "Ti", "Ti", "Ti", "Ti", "Ti", "Ti", "Ti", "Mo"], "fractional_positions": [[0.7500, 0.7500, 0.7500], [0.2500, 0.2500, 0.2500], [0.2514, 0.7486, 0.2514], [0.2514, 0.2514, 0.7486], [0.7486, 0.2514, 0.7486], [0.7486, 0.2514, 0.2514], [0.7486, 0.7486, 0.2514], [0.5000, 0.5000, 0.5000], [0.2514, 0.7486, 0.7486], [0.0000, 0.0000, 0.0000]]}

***

No. 20
{"formula": "TlIn2Mo", "functional": "PBE-GGA", "state": "optimized geometry", "space_group": "No. 25", "ef_ev_per_atom": 0.4857, "lattice_angstrom": [[-4.0450, 0.2127, 3.2819], [1.7955, -1.0307, 2.2798], [1.2960, 5.0640, 1.2691]], "species": ["In", "In", "Tl", "Mo"], "fractional_positions": [[0.0000, 0.1251, 0.9594], [0.5000, 0.1246, 0.3003], [0.5000, 0.6253, 0.7833], [0.0000, 0.6251, 0.4570]]}